GGA-PBE Tb6PmNd4, relaxed; spin magnetization = 0.000 μB per atom; formation enthalpy at 0 K = 0.43 eV/atom; calculated density = 7.04 g/cm3; DFT total energy = -4.26 eV/atom; Fermi-level density of states = 15.1 states/eV/cell; space group = No. 121; ΔE to the lowest computed polymorph = 127 meV per atom
1.0
7.7515 0.0000 0.0000
0.0000 7.7515 0.0000
-3.8757 -3.8757 6.5748
Tb Pm Nd
6 1 4
Direct
0.9293 0.4419 0.3712
0.0707 0.0707 0.6288
0.0000 0.5000 0.0000
0.5000 0.0000 0.0000
0.4419 0.9293 0.3712
0.5581 0.5581 0.6288
0.5000 0.5000 0.0000
0.0978 0.7500 0.8478
0.2500 0.2500 0.1522
0.7500 0.0978 0.8478
0.9022 0.9022 0.1522

***

GGA-PBE CsYTe2O8, relaxed; spin magnetization = 0.009 μB per atom; calculated density = 3.71 g/cm3; DFT total energy = -6.03 eV/atom; Fermi-level density of states = 0.0 states/eV/cell; formation energy without anion corrections = -19.08 eV/f.u.; space group = No. 147
1.0
5.8404 0.0000 0.0000
-2.9202 5.0579 0.0000
0.0000 0.0000 9.1591
O Cs Te Y
8 1 2 1
Direct
0.2574 0.9186 0.6507
0.0814 0.3388 0.6507
0.9186 0.6612 0.3493
0.6612 0.7426 0.6507
0.6667 0.3333 0.0820
0.3333 0.6667 0.9180
0.7426 0.0814 0.3493
0.3388 0.2574 0.3493
0.0000 0.0000 0.0000
0.3333 0.6667 0.7192
0.6667 0.3333 0.2808
0.0000 0.0000 0.5000

***

GGA-PBE ZrScIn, relaxed; spin magnetization = 0.000 μB per atom; formation enthalpy at 0 K = -0.17 eV/atom; calculated density = 5.86 g/cm3; DFT total energy = -6.05 eV/atom; Fermi-level density of states = 3.2 states/eV/cell; space group = No. 156; ΔE to the lowest computed polymorph = 129 meV per atom
1.0
3.2824 0.0000 0.0000
-1.6412 2.8426 0.0000
0.0000 0.0000 7.6206
Zr Sc In
1 1 1
Direct
0.6667 0.3333 0.6623
0.3333 0.6667 0.3374
0.0000 0.0000 0.0004

***

GGA-PBE AlZnIr, relaxed; spin magnetization = 0.000 μB per atom; formation enthalpy at 0 K = -0.37 eV/atom; calculated density = 9.21 g/cm3; DFT total energy = -5.00 eV/atom; Fermi-level density of states = 0.9 states/eV/cell; space group = No. 216
1.0
4.1709 0.0000 0.0000
2.0855 3.6121 0.0000
2.0855 1.2040 3.4055
Ir Zn Al
1 1 1
Direct
0.7500 0.7500 0.7500
0.0000 0.0000 0.0000
0.5000 0.5000 0.5000

***

- Among the records above, which one has the highest calculated density?
  AlZnIr